[1]
VASP calculation (PBEsol) on an optimized crystal structure of CoRe2Ru.

Output
- E above lowest polymorph: 0.0 kJ per mole of atoms
- Uncorrected energy: -11.21 eV per atom
- Formation enthalpy at 0 K: -69 meV per atom

Cell lengths 2.679, 4.236, 4.622 Å; angles 90.00, 90.00, 90.00 degrees
Positions (direct):
1 Re 0.000 0.000 0.052
2 Re 0.000 0.500 0.711
3 Co 0.500 0.500 0.200
4 Ru 0.500 0.000 0.536


[2]
VASP calculation (PBEsol) on an optimized crystal structure of Tm2TlCd.

Output
- Uncorrected energy: -3.78 eV per atom
- Formation enthalpy at 0 K: -370 meV per atom

Cell lengths 5.163, 5.163, 5.163 Å; angles 60.00, 60.00, 60.00 degrees
Positions (direct):
1 Tl 0.000 0.000 0.000
2 Tm 0.250 0.250 0.250
3 Tm 0.750 0.750 0.750
4 Cd 0.500 0.500 0.500


[3]
VASP calculation (PBEsol) on an optimized crystal structure of LiHf2Ga.

Output
- Uncorrected energy: -6.31 eV per atom
- Formation enthalpy at 0 K: 263 meV per atom

Cell lengths 5.369, 5.887, 5.887 Å; angles 78.00, 62.87, 62.87 degrees
Positions (direct):
1 Hf 0.624 0.001 0.501
2 Hf 0.126 0.999 0.499
3 Hf 0.375 0.499 0.001
4 Hf 0.875 0.501 0.999
5 Ga 0.000 0.000 0.000
6 Ga 0.750 0.500 0.500
7 Li 0.500 0.000 0.000
8 Li 0.250 0.500 0.500


[4]
VASP calculation (PBEsol) on an optimized crystal structure of Re2SeCl.

Output
- Formation energy without anion corrections: 1.9 eV/f.u.
- E above lowest polymorph: 0.0 kJ per mole of atoms
- Uncorrected energy: -7.65 eV per atom

Cell lengths 2.883, 2.889, 9.426 Å; angles 90.00, 90.00, 119.93 degrees
Positions (direct):
1 Re 0.000 0.000 0.007
2 Re 0.500 0.000 0.235
3 Se 0.000 0.000 0.464
4 Cl 0.500 0.000 0.794


[5]
VASP calculation (PBEsol) on an optimized crystal structure of TcMo2W.

Output
- E above lowest polymorph: 0.2 kJ per mole of atoms
- Uncorrected energy: -12.12 eV per atom
- Formation enthalpy at 0 K: 37 meV per atom

Cell lengths 3.107, 4.389, 4.423 Å; angles 90.00, 90.00, 90.00 degrees
Positions (direct):
1 Mo 0.000 0.000 0.000
2 Mo 0.500 0.500 0.000
3 Tc 0.500 0.000 0.500
4 W 0.000 0.500 0.500


[6]
VASP calculation (PBEsol) on an optimized crystal structure of SiP3.

Output
- Formation energy without anion corrections: 1.6 eV/f.u.
- Uncorrected energy: -5.38 eV per atom

Cell lengths 3.369, 3.786, 5.354 Å; angles 110.71, 108.33, 90.00 degrees
Positions (direct):
1 P 0.315 0.315 0.630
2 P 0.500 0.000 0.000
3 P 0.685 0.685 0.370
4 Si 0.000 0.500 0.000